DFT (GGA-PBE) results for an optimized crystal structure of Cd3GeB.

Formation energy from the elements in eV/atom: 0.61
Total DFT energy (no corrections) in eV/cell: -11.0
E above lowest polymorph in eV/atom: 0.000
Density in g/cm³: 6.903

Cell lengths 4.660, 4.660, 4.660 Å; angles 90.00, 90.00, 90.00 degrees
Space group Pm-3m (No. 221)
One atom of each set of equivalent atoms:
Cd 0.000 0.000 0.500 (multiplicity 3)
Ge 0.500 0.500 0.500 (multiplicity 1)
B 0.000 0.000 0.000 (multiplicity 1)